## w
Density functional theory data (PBE) for a geometry-optimized TaCd2Tc structure.

space-group type = P4/mmm, No. 123
volume = 72.7 Å³/f.u.
crystal system = tetragonal

abc: 3.593 3.593 5.634
angles: 90.00 90.00 90.00
Fractional coordinates of all 4 atoms:
1 Cd 0.000 0.000 0.993
2 Cd 0.000 0.000 0.507
3 Ta 0.500 0.500 0.250
4 Tc 0.500 0.500 0.750

***

## x
Density functional theory data (PBE) for a geometry-optimized TaCd2Tc structure.

space-group type = Fm-3m, No. 225
volume = 71.8 Å³/f.u.
crystal system = cubic

abc: 4.666 4.666 4.666
angles: 60.00 60.00 60.00
Each line ends with the local moment (μB).
Fractional coordinates of all 4 atoms:
1 Cd 0.250 0.250 0.250  0.01
2 Cd 0.750 0.750 0.750  0.01
3 Tc 0.000 0.000 0.000  0.75
4 Ta 0.500 0.500 0.500  -0.06

***

## y
Density functional theory data (PBE) for a geometry-optimized TaCd2Tc structure.

space-group type = P4/mmm, No. 123
volume = 72.5 Å³/f.u.
crystal system = tetragonal

abc: 2.815 2.815 9.151
angles: 90.00 90.00 90.00
Each line ends with the local moment (μB).
Fractional coordinates of all 4 atoms:
1 Cd 0.000 0.000 0.991  -0.01
2 Cd 0.000 0.000 0.509  -0.01
3 Ta 0.500 0.500 0.250  0.00
4 Tc 0.500 0.500 0.750  0.65

***

Decreasing stability: y, w, x

***

## w
Density functional theory data (PBE) for a geometry-optimized TaCdTc3 structure.

space-group type = Pm-3m, No. 221
volume = 104.4 Å³/f.u.
crystal system = cubic

abc: 4.708 4.708 4.708
angles: 90.00 90.00 90.00
Fractional coordinates of all 5 atoms:
1 Cd 0.000 0.000 0.000
2 Tc 0.000 0.500 0.000
3 Tc 0.000 0.000 0.500
4 Tc 0.500 0.000 0.000
5 Ta 0.500 0.500 0.500

***

## x
Density functional theory data (PBE) for a geometry-optimized TaCdTc3 structure.

space-group type = Pm-3m, No. 221
volume = 108.3 Å³/f.u.
crystal system = cubic

abc: 4.766 4.766 4.766
angles: 90.00 90.00 90.00
Each line ends with the local moment (μB).
Fractional coordinates of all 5 atoms:
1 Cd 0.500 0.500 0.500  -0.02
2 Tc 0.000 0.500 0.000  0.91
3 Tc 0.000 0.000 0.500  0.86
4 Tc 0.500 0.000 0.000  0.96
5 Ta 0.000 0.000 0.000  -0.11

***

Decreasing stability: x, w

***

## w
Density functional theory data (PBE) for a geometry-optimized Ta3CdTc structure.

space-group type = Pm-3m, No. 221
volume = 117.1 Å³/f.u.
crystal system = cubic

abc: 4.893 4.893 4.893
angles: 90.00 90.00 90.00
Each line ends with the local moment (μB).
Fractional coordinates of all 5 atoms:
1 Cd 0.000 0.000 0.000  -0.02
2 Tc 0.500 0.500 0.500  1.88
3 Ta 0.000 0.500 0.000  -0.18
4 Ta 0.000 0.000 0.500  -0.30
5 Ta 0.500 0.000 0.000  -0.21

***

## x
Density functional theory data (PBE) for a geometry-optimized Ta3CdTc structure.

space-group type = Pm-3m, No. 221
volume = 112.1 Å³/f.u.
crystal system = cubic

abc: 4.821 4.821 4.821
angles: 90.00 90.00 90.00
Fractional coordinates of all 5 atoms:
1 Cd 0.500 0.500 0.500
2 Tc 0.000 0.000 0.000
3 Ta 0.000 0.500 0.000
4 Ta 0.000 0.000 0.500
5 Ta 0.500 0.000 0.000

***

Decreasing stability: x, w

***

## w
Density functional theory data (PBE) for a geometry-optimized TaCd2Tc2 structure.

space-group type = I4/mmm, No. 139
volume = 96.5 Å³/f.u.
crystal system = tetragonal

abc: 3.655 3.655 7.669
angles: 76.21 76.21 90.00
Fractional coordinates of all 5 atoms:
1 Cd 0.750 0.250 0.500
2 Cd 0.250 0.750 0.500
3 Tc 0.418 0.418 0.164
4 Tc 0.582 0.582 0.836
5 Ta 0.000 0.000 0.000

***

## x
Density functional theory data (PBE) for a geometry-optimized TaCd2Tc2 structure.

space-group type = P4/mbm, No. 127
volume = 95.4 Å³/f.u.
crystal system = tetragonal

abc: 6.487 6.487 4.533
angles: 90.00 90.00 90.00
Fractional coordinates of all 10 atoms:
1 Cd 0.173 0.673 0.500
2 Cd 0.673 0.827 0.500
3 Cd 0.827 0.327 0.500
4 Cd 0.327 0.173 0.500
5 Tc 0.369 0.869 0.000
6 Tc 0.869 0.631 0.000
7 Tc 0.631 0.131 0.000
8 Tc 0.131 0.369 0.000
9 Ta 0.000 0.000 0.000
10 Ta 0.500 0.500 0.000

***

Decreasing stability: x, w

***

## w
Density functional theory data (PBE) for a geometry-optimized Ta2CdTe structure.

space-group type = P4mm, No. 99
volume = 89.1 Å³/f.u.
crystal system = tetragonal

abc: 3.468 3.468 7.405
angles: 90.00 90.00 90.00
Fractional coordinates of all 4 atoms:
1 Cd 0.500 0.500 0.796
2 Te 0.000 0.000 0.443
3 Ta 0.000 0.000 0.035
4 Ta 0.500 0.500 0.226

***

## x
Density functional theory data (PBE) for a geometry-optimized Ta2CdTe structure.

space-group type = Immm, No. 71
volume = 80.6 Å³/f.u.
crystal system = orthorhombic

abc: 5.590 5.590 5.590
angles: 144.06 127.22 65.51
Fractional coordinates of all 4 atoms:
1 Cd 0.250 0.750 0.500
2 Te 0.750 0.250 0.500
3 Ta 0.992 0.992 0.000
4 Ta 0.508 0.508 0.000

***

## y
Density functional theory data (PBE) for a geometry-optimized Ta2CdTe structure.

space-group type = P4/mmm, No. 123
volume = 78.9 Å³/f.u.
crystal system = tetragonal

abc: 3.251 3.251 7.470
angles: 90.00 90.00 90.00
Fractional coordinates of all 4 atoms:
1 Cd 0.500 0.500 0.750
2 Te 0.500 0.500 0.250
3 Ta 0.000 0.000 0.016
4 Ta 0.000 0.000 0.484

***

Decreasing stability: w, y, x

***

## w
Density functional theory data (PBE) for a geometry-optimized Ta2CdTe structure.

space-group type = P2/m, No. 10
volume = 80.7 Å³/f.u.
crystal system = monoclinic

abc: 4.615 3.085 5.766
angles: 79.47 90.00 90.00
Fractional coordinates of all 4 atoms:
1 Cd 0.500 0.750 0.750
2 Te 0.500 0.250 0.250
3 Ta 0.000 0.043 0.994
4 Ta 0.000 0.457 0.506

***

## x
Density functional theory data (PBE) for a geometry-optimized Ta2CdTe structure.

space-group type = Cmmm, No. 65
volume = 81.5 Å³/f.u.
crystal system = orthorhombic

abc: 3.052 3.052 9.329
angles: 90.00 90.00 110.37
Fractional coordinates of all 4 atoms:
1 Cd 0.500 0.500 0.750
2 Te 0.500 0.500 0.250
3 Ta 0.000 0.000 0.010
4 Ta 0.000 0.000 0.490

***

Decreasing stability: w, x